Record 1
A plane-wave DFT calculation with GGA-PBE was carried out for a geometry-optimized LiCrCu structure.

POSCAR file:
```
LiCrCu
1.0
2.511 0.000 0.000
-1.256 2.175 0.000
0.000 0.000 6.811
Li Cr Cu
1 1 1
Cartesian
0.000 0.000 0.000
1.256 0.725 2.401
0.000 1.450 4.586
```

Magnetization (μB per atom): 0.143
D(E_F) (states/eV per atom): 0.957
Energy (eV per atom): -4.88
Relative energy among the computed polymorphs (eV per atom): 0.086
Formation enthalpy at 0 K (eV per atom): 0.331



Record 2
A plane-wave DFT calculation with GGA-PBE was carried out for a geometry-optimized HfAgPdF6 structure.

POSCAR file:
```
HfAgPdF6
1.0
6.051 0.000 0.000
-3.025 5.240 0.000
0.000 0.000 9.373
Hf Ag Pd F
2 2 2 12
Cartesian
0.000 3.493 2.343
3.025 1.747 7.029
0.000 3.493 7.029
3.025 1.747 2.343
0.000 0.000 0.000
0.000 0.000 4.686
-0.794 2.022 1.216
-1.672 3.541 3.471
0.794 2.022 3.471
-0.877 4.917 1.216
2.148 0.323 5.902
1.354 1.699 8.157
1.672 3.541 1.216
0.877 4.917 3.471
3.903 0.323 8.157
2.231 3.218 5.902
4.697 1.699 5.902
3.820 3.218 8.157
```

Magnetization (μB per atom): 0.111
D(E_F) (states/eV per atom): 0.737
Energy (eV per atom): -5.62
Uncorrected formation energy (eV/atom): -2.374



Record 3
A plane-wave DFT calculation with GGA-PBE was carried out for a geometry-optimized NdGd2Te structure.

POSCAR file:
```
NdGd2Te
1.0
1.946 1.123 10.116
-1.946 1.123 10.116
0.000 -2.246 10.116
Nd Gd Te
1 2 1
Cartesian
0.000 0.000 0.000
0.000 0.000 7.210
0.000 0.000 23.139
0.000 0.000 15.174
```

Magnetization (μB per atom): 3.656
D(E_F) (states/eV per atom): 1.265
Energy (eV per atom): -9.59
Relative energy among the computed polymorphs (eV per atom): 0.027
Uncorrected formation energy (eV/atom): -0.571



Record 4
A plane-wave DFT calculation with GGA-PBE was carried out for a geometry-optimized Cs3LiPb4 structure.

POSCAR file:
```
Cs3LiPb4
1.0
3.721 -8.573 0.000
3.721 8.573 0.000
0.000 0.000 10.928
Cs Li Pb
6 2 8
Cartesian
3.721 6.595 5.977
3.721 6.595 10.415
3.721 3.847 2.732
3.721 -3.847 8.196
3.721 -6.595 0.513
3.721 -6.595 4.951
3.721 0.000 0.000
3.721 0.000 5.464
2.114 0.558 8.196
2.114 -0.558 2.732
3.721 2.777 6.652
3.721 2.777 9.740
3.721 -2.777 1.188
3.721 -2.777 4.276
5.327 0.558 8.196
5.327 -0.558 2.732
```

Magnetization (μB per atom): 0.000
Energy (eV per atom): -2.68
Relative energy among the computed polymorphs (eV per atom): 0.000
Formation enthalpy at 0 K (eV per atom): -0.268



Record 5
A plane-wave DFT calculation with GGA-PBE was carried out for a geometry-optimized PmSn2Pb2 structure.

POSCAR file:
```
PmSn2Pb2
1.0
2.300 -13.761 0.000
2.300 13.761 0.000
0.000 0.000 4.609
Pm Sn Pb
2 4 4
Cartesian
2.300 9.360 3.457
2.300 -9.360 1.152
2.300 6.890 1.152
2.300 4.002 3.457
2.300 -4.002 1.152
2.300 -6.890 3.457
2.300 12.190 1.152
2.300 1.540 1.152
2.300 -1.540 3.457
2.300 -12.190 3.457
```

Magnetization (μB per atom): 0.000
D(E_F) (states/eV per atom): 0.396
Energy (eV per atom): -4.38
Relative energy among the computed polymorphs (eV per atom): 0.000
Formation enthalpy at 0 K (eV per atom): -0.343



Record 6
A plane-wave DFT calculation with GGA-PBE was carried out for a geometry-optimized AcLa2Pd structure.

POSCAR file:
```
AcLa2Pd
1.0
5.712 0.000 0.000
0.000 5.712 0.000
0.000 0.000 3.834
Ac La Pd
1 2 1
Cartesian
0.000 0.000 0.000
0.000 2.856 1.917
2.856 0.000 1.917
2.856 2.856 0.000
```

Magnetization (μB per atom): 0.000
D(E_F) (states/eV per atom): 1.325
Energy (eV per atom): -4.85
Relative energy among the computed polymorphs (eV per atom): 0.365
Formation enthalpy at 0 K (eV per atom): -0.061



Record 7
A plane-wave DFT calculation with GGA-PBE was carried out for a geometry-optimized GeAsOs3 structure.

POSCAR file:
```
GeAsOs3
1.0
4.565 0.000 0.000
0.000 4.565 0.000
0.000 0.000 4.565
Ge As Os
1 1 3
Cartesian
0.000 0.000 0.000
2.283 2.283 2.283
0.000 2.283 2.283
2.283 0.000 2.283
2.283 2.283 0.000
```

Magnetization (μB per atom): 0.092
D(E_F) (states/eV per atom): 1.216
Energy (eV per atom): -6.89
Relative energy among the computed polymorphs (eV per atom): 0.000
Formation enthalpy at 0 K (eV per atom): 1.698



Record 8
A plane-wave DFT calculation with GGA-PBE was carried out for a geometry-optimized AlHgTeBr structure.

POSCAR file:
```
AlHgTeBr
1.0
3.578 -2.066 0.000
3.578 2.066 0.000
-2.247 0.000 10.871
Al Hg Te Br
1 1 1 1
Cartesian
0.000 0.000 0.000
4.770 0.000 4.774
2.385 0.000 1.235
4.909 0.000 8.612
```

Magnetization (μB per atom): 0.000
D(E_F) (states/eV per atom): 0.000
Energy (eV per atom): -2.75
Uncorrected formation energy (eV/atom): -0.539